VASP calculation (GGA-PBE) on an optimized crystal structure of Tb5ThSe6.

## Properties
The calculation puts the formation energy without anion corrections at -1.725 eV/atom.

Cell lengths 7.140, 7.140, 7.138 Å; angles 99.69, 99.69, 120.31 degrees
Element x y z (fractional)
Tb (0.835, 0.165, 0.500)
Tb (0.667, 0.333, 0.000)
Tb (0.500, 0.500, 0.500)
Tb (0.333, 0.667, 0.000)
Tb (0.165, 0.835, 0.500)
Se (0.424, 0.085, 0.254)
Se (0.915, 0.576, 0.746)
Se (0.255, 0.255, 0.747)
Se (0.745, 0.745, 0.253)
Se (0.085, 0.424, 0.254)
Se (0.576, 0.915, 0.746)
Th (0.000, 0.000, 0.000)